DFT (PBE) results for a relaxed Pa4Bi2H crystal.

```
7
Lattice="4.605 0.000 0.000 0.000 4.605 0.000 2.302 2.302 8.125" Properties=species:S:1:pos:R:3 pbc="T T T"
H 0.000 0.000 0.000
Pa 4.605 4.605 2.424
Pa 2.302 2.302 5.701
Pa 0.000 2.302 0.000
Pa 2.302 0.000 0.000
Bi 4.605 4.605 5.684
Bi 2.302 2.302 2.442
```

Space group = No. 139
M_tot = 1.0 μB/f.u.
VASP energy = -7.108 eV per atom


DFT (PBE) results for a relaxed Li3Ge5S12 crystal.

```
80
Lattice="-8.012 -7.651 -6.506 11.133 -6.112 1.934 -5.239 3.043 11.329" Properties=species:S:1:pos:R:3 pbc="T T T"
Li -2.489 -7.650 -2.738
Li 0.685 -10.898 -2.826
Li 2.071 -5.551 6.091
Li -2.576 -1.535 2.864
Li -6.928 -6.697 -2.619
Li 2.644 -5.928 1.601
Li -4.761 -4.791 5.156
Li 4.811 -4.022 9.376
Li 0.458 -9.184 3.893
Li -4.189 -5.168 0.666
Li -2.802 0.179 9.583
Li 0.372 -3.070 9.495
Ge 1.864 -2.488 2.744
Ge 5.567 -3.056 0.967
Ge 0.000 0.000 0.000
Ge -0.876 -4.017 -0.540
Ge -6.625 -2.304 2.412
Ge 1.561 -6.881 -2.286
Ge 5.384 -4.399 4.885
Ge -9.201 -3.839 5.275
Ge -1.015 -8.417 0.578
Ge -5.542 -1.350 6.299
Ge 3.424 -9.369 0.458
Ge -1.059 -5.360 3.378
Ge -4.006 -3.825 -3.253
Ge -2.619 1.522 5.664
Ge -1.102 -2.303 6.179
Ge 7.084 -6.880 1.482
Ge 2.947 -1.534 6.631
Ge -7.501 -6.320 1.871
Ge -1.241 -6.703 7.297
Ge -3.981 -8.232 4.013
S -4.480 -6.096 -3.999
S 1.210 -4.490 3.562
S -5.081 -8.806 -2.281
S -2.586 -4.990 -1.652
S -0.328 -6.764 5.231
S -2.088 -10.468 -3.140
S 4.030 -6.037 4.117
S 8.795 -5.905 2.589
S 2.477 -8.369 5.691
S -0.097 -8.478 -1.486
S -3.100 -7.748 0.017
S 3.348 -11.751 -3.216
S 4.115 -3.673 6.608
S 1.097 -5.110 -0.679
S 7.466 -5.070 5.451
S -5.026 -2.133 4.242
S 0.179 -1.096 2.169
S 3.322 -7.427 -0.693
S 2.067 -11.005 -0.308
S 3.135 -3.209 1.021
S 3.616 -6.375 8.372
S 0.050 -7.080 2.056
S -0.913 -10.361 1.725
S -7.517 -5.233 5.846
S -2.167 -3.640 4.701
S -1.204 -0.358 5.032
S 5.399 -5.486 0.911
S -4.184 0.285 7.065
S -5.733 -4.345 -1.615
S -5.253 -7.510 5.736
S -5.439 -3.292 7.450
S 2.909 -8.587 2.515
S -2.296 -9.623 4.588
S -9.584 -5.650 1.306
S -6.232 -7.047 0.149
S -5.465 1.032 9.973
S -3.214 -5.610 7.436
S -4.594 -2.351 1.066
S -2.020 -2.242 8.243
S 0.982 -2.971 6.740
S -10.913 -4.814 4.168
S -6.148 -4.682 2.640
S 0.468 -5.729 8.409
S -0.029 -0.252 9.897
S -1.789 -3.955 1.526
S 2.963 -1.914 9.038
S -3.327 -6.229 3.195
S 2.363 -4.624 10.756
```

Formation energy without anion corrections = -0.36 eV per atom
Space group = No. 230
M_tot = 0.0 μB/f.u.


DFT (PBE) results for a relaxed LaSmY2Tm2 crystal.

```
12
Lattice="3.408 0.000 0.000 0.000 6.532 0.000 0.000 0.000 18.041" Properties=species:S:1:pos:R:3 pbc="T T T"
La 0.000 0.000 0.000
La 1.704 3.266 9.020
Sm 1.704 3.266 0.000
Sm 0.000 0.000 9.020
Y 1.704 1.849 5.598
Y 0.000 5.115 3.423
Y 1.704 4.683 12.443
Y 0.000 1.417 14.618
Tm 1.704 5.127 6.361
Tm 1.704 1.405 11.680
Tm 0.000 4.671 15.382
Tm 0.000 1.861 2.659
```

Formation energy = 0.270 eV/atom
Space group = No. 58
M_tot = 0.0 μB/f.u.


DFT (PBE) results for a relaxed SnGeMo2Ir crystal.

```
5
Lattice="4.652 0.000 0.000 0.000 4.556 0.000 0.000 0.000 4.652" Properties=species:S:1:pos:R:3 pbc="T T T"
Mo 0.000 0.000 2.326
Mo 2.326 0.000 0.000
Ir 0.000 2.278 0.000
Ge 0.000 0.000 0.000
Sn 2.326 2.278 2.326
```

Formation energy = 1.004 eV/atom
Space group = No. 123
M_tot = 0.6 μB/f.u.


DFT (PBE) results for a relaxed Nd4Zn5Ru2 crystal.

```
11
Lattice="-2.444 1.716 -2.704 -5.603 -2.389 3.549 0.438 7.693 4.488" Properties=species:S:1:pos:R:3 pbc="T T T"
Nd -5.204 3.419 3.873
Nd -1.871 7.029 3.152
Nd -2.405 3.602 1.459
Nd -5.738 -0.008 2.180
Zn -3.021 1.051 3.398
Zn -1.034 0.717 1.390
Zn -2.801 -1.194 1.774
Zn -4.131 4.588 6.647
Zn -2.144 4.254 4.638
Ru -0.044 4.814 3.095
Ru -5.121 0.491 4.941
```

Formation energy = -0.232 eV/atom
Space group = No. 10
M_tot = 0.0 μB/f.u.


DFT (PBE) results for a relaxed HfBiS3 crystal.

```
20
Lattice="-2.920 0.388 -2.175 -4.989 -5.652 5.687 -4.755 12.945 8.695" Properties=species:S:1:pos:R:3 pbc="T T T"
Hf -6.461 4.410 7.919
Hf -6.203 3.272 4.288
Hf -7.170 -3.712 4.339
Hf -5.493 11.394 7.868
Bi -2.953 2.092 2.796
Bi -9.711 5.589 9.411
Bi -7.180 8.317 6.501
Bi -5.483 -0.636 5.706
S -5.742 0.991 3.262
S -4.776 -2.807 4.370
S -1.575 0.416 0.647
S -5.784 2.260 6.627
S -3.788 4.118 4.279
S -6.879 5.421 5.579
S -4.501 9.716 6.235
S -11.089 7.265 11.560
S -7.887 10.488 7.837
S -8.163 -2.035 5.971
S -8.876 3.563 7.928
S -6.921 6.690 8.944
```

Formation energy without anion corrections = -0.97 eV per atom
E above lowest polymorph = 0 meV per atom
Space group = No. 62
M_tot = 0.0 μB/f.u.


DFT (PBE) results for a relaxed Mn2ReOs crystal.

```
4
Lattice="-1.329 3.678 0.912 -0.701 0.377 -2.540 -4.700 -1.615 -0.339" Properties=species:S:1:pos:R:3 pbc="T T T"
Mn -0.195 0.044 -0.463
Mn -1.840 1.477 0.203
Os -2.549 -0.598 -1.303
Re -4.847 0.898 -1.843
```

Formation energy = 0.026 eV/atom
Space group = No. 38
M_tot = 0.1 μB/f.u.


DFT (PBE) results for a relaxed Ce2Ga3Au5 crystal.

```
20
Lattice="-3.232 -1.152 3.024 5.014 -3.106 4.176 3.338 11.348 4.432" Properties=species:S:1:pos:R:3 pbc="T T T"
Ce 5.270 8.134 8.731
Ce 4.381 1.401 5.216
Ce 0.783 5.662 6.452
Ce -0.447 -0.860 2.653
Ga 3.166 2.965 7.972
Ga 1.462 0.031 5.033
Ga 4.723 -1.764 4.376
Ga 2.105 4.031 3.786
Ga 1.984 7.872 8.578
Ga 1.562 8.358 4.853
Au 3.484 7.238 6.481
Au 3.809 4.539 5.800
Au -0.599 3.735 4.241
Au 1.409 1.946 2.247
Au 5.867 3.248 7.508
Au 0.048 8.986 6.933
Au 1.463 2.473 5.965
Au 3.201 5.460 8.960
Au 2.812 -0.496 2.816
Au 3.363 -1.217 6.590
```

Formation energy = -0.555 eV/atom
E above lowest polymorph = 0 meV per atom
Space group = No. 36
M_tot = 1.2 μB/f.u.


Per-record V, Å³/atom: 24.612; 20.403; 33.468; 19.717; 22.950; 28.189; 12.827; 20.532